[1]
## Pm4AgPd2 (GGA-PBE)

Data for a relaxed Pm4AgPd2 crystal.

Lattice parameters (Å, degrees): 7.8818 7.8818 7.8818 108.67 108.67 111.08
With the nearest neighbours (Å) after each atom.
Positions (direct):
Pm 0.0047 0.7584 0.1200  2 Pd 2.85-2.95, 1 Ag 3.04
Pm 0.1116 0.4916 0.7463  2 Pd 2.85-2.95, 1 Ag 3.04
Pm 0.1153 0.9953 0.7537  2 Pd 2.85-2.95, 1 Ag 3.04
Pm 0.2416 0.3616 0.2463  2 Pd 2.85-2.95, 1 Ag 3.04
Pm 0.5084 0.2547 0.6200  2 Pd 2.85-2.95, 1 Ag 3.04
Pm 0.6347 0.8884 0.3800  2 Pd 2.85-2.95, 1 Ag 3.04
Pm 0.6384 0.8847 0.8800  2 Pd 2.85-2.95, 1 Ag 3.04
Pm 0.7453 0.3653 0.2537  2 Pd 2.85-2.95, 1 Ag 3.04
Ag 0.2500 0.7500 0.5000  8 Pm 3.04-3.38
Ag 0.5000 0.5000 0.0000  8 Pm 3.04-3.38
Pd 0.0073 0.1250 0.3823  4 Pm 2.85-2.95
Pd 0.3750 0.9927 0.1177  4 Pm 2.85-2.95
Pd 0.7427 0.6250 0.6177  4 Pm 2.85-2.95
Pd 0.8750 0.2573 0.8823  4 Pm 2.85-2.95

The energy above the most stable polymorph in this dataset is 0.0000 eV per atom. As for the formation energy: -3.24 eV/f.u. For the density of states at the Fermi level, the calculation gives 7.572 states/eV/f.u.

[2]
## Pm3AgPd3 (GGA-PBE)

Data for a relaxed Pm3AgPd3 crystal.

Lattice parameters (Å, degrees): 8.6101 8.6101 5.0579 90.00 90.00 120.00
With the nearest neighbours (Å) after each atom.
Positions (direct):
Pm 0.0758 0.6648 0.2500  4 Pd 2.81-2.99
Pm 0.3352 0.4110 0.2500  4 Pd 2.81-2.99
Pm 0.4110 0.0758 0.7500  4 Pd 2.81-2.99
Pm 0.5890 0.9242 0.2500  4 Pd 2.81-2.99
Pm 0.6648 0.5890 0.7500  4 Pd 2.81-2.99
Pm 0.9242 0.3352 0.7500  4 Pd 2.81-2.99
Ag 0.3333 0.6667 0.7500  9 Pm 3.24-3.36, 3 Pd 3.46
Ag 0.6667 0.3333 0.2500  9 Pm 3.24-3.36, 3 Pd 3.46
Pd 0.0362 0.8273 0.7500  4 Pm 2.81-2.99, 6 Pd 2.88-3.03
Pd 0.1727 0.2089 0.7500  4 Pm 2.81-2.99, 6 Pd 2.88-3.03
Pd 0.2089 0.0362 0.2500  4 Pm 2.81-2.99, 6 Pd 2.88-3.03
Pd 0.7911 0.9638 0.7500  4 Pm 2.81-2.99, 6 Pd 2.88-3.03
Pd 0.8273 0.7911 0.2500  4 Pm 2.81-2.99, 6 Pd 2.88-3.03
Pd 0.9638 0.1727 0.2500  4 Pm 2.81-2.99, 6 Pd 2.88-3.03

As for the formation energy: -3.78 eV/f.u. For the density of states at the Fermi level, the calculation gives 6.695 states/eV/f.u.

[3]
## PmAg2Pd6 (GGA-PBE)

Data for a relaxed PmAg2Pd6 crystal.

Lattice parameters (Å, degrees): 7.5072 7.5072 7.5072 144.40 135.85 57.95
With the nearest neighbours (Å) after each atom.
Positions (direct):
Pm 0.0000 0.0000 0.0000  4 Pd 2.76
Ag 0.3864 0.8864 0.5000  10 Pd 2.83-3.03, 1 Ag 2.98
Ag 0.6136 0.1136 0.5000  10 Pd 2.83-3.03, 1 Ag 2.98
Pd 0.0528 0.3000 0.7528  5 Pd 2.63-2.85, 3 Ag 2.83-2.92
Pd 0.2711 0.5000 0.7711  3 Pd 2.58-2.63, 2 Pm 2.76
Pd 0.4528 0.7000 0.7528  5 Pd 2.63-2.85, 3 Ag 2.83-2.92
Pd 0.5472 0.3000 0.2472  5 Pd 2.63-2.85, 3 Ag 2.83-2.92
Pd 0.7289 0.5000 0.2289  3 Pd 2.58-2.63, 2 Pm 2.76
Pd 0.9472 0.7000 0.2472  5 Pd 2.63-2.85, 3 Ag 2.83-2.92

As for the formation energy: -0.82 eV/f.u. For the density of states at the Fermi level, the calculation gives 6.142 states/eV/f.u.

[4]
## PmAgPd2 (GGA-PBE)

Data for a relaxed PmAgPd2 crystal.

Lattice parameters (Å, degrees): 3.5962 3.5962 6.0836 90.00 90.00 90.00
With the nearest neighbours (Å) after each atom.
Positions (direct):
Pm 0.0000 0.0000 0.0000  8 Pd 3.01, 2 Ag 3.04
Ag 0.0000 0.0000 0.5000  8 Pd 2.92, 2 Pm 3.04
Pd 0.5000 0.5000 0.2643  1 Pd 2.87, 4 Ag 2.92, 4 Pm 3.01
Pd 0.5000 0.5000 0.7357  1 Pd 2.87, 4 Ag 2.92, 4 Pm 3.01

The energy above the most stable polymorph in this dataset is 0.0688 eV per atom. As for the formation energy: -2.07 eV/f.u. For the density of states at the Fermi level, the calculation gives 1.234 states/eV/f.u.

[5]
## Pm3Ag2Pd4 (GGA-PBE)

Data for a relaxed Pm3Ag2Pd4 crystal.

Lattice parameters (Å, degrees): 5.4279 5.4279 8.7555 96.79 96.79 50.82
With the nearest neighbours (Å) after each atom.
Positions (direct):
Pm 0.0000 0.0000 0.0000  8 Pd 3.04-3.40, 2 Ag 3.35
Pm 0.3812 0.3812 0.6220  4 Pd 2.85-3.05
Pm 0.6188 0.6188 0.3780  4 Pd 2.85-3.05
Ag 0.2971 0.2971 0.2381  5 Pd 2.77-2.79
Ag 0.7029 0.7029 0.7619  5 Pd 2.77-2.79
Pd 0.0836 0.0836 0.6356  2 Pd 2.70-3.00, 2 Ag 2.77, 1 Pm 2.94
Pd 0.2920 0.2920 0.9195  3 Ag 2.78-2.79, 4 Pm 2.85-3.12, 3 Pd 2.90-3.00
Pd 0.7080 0.7080 0.0805  3 Ag 2.78-2.79, 4 Pm 2.85-3.12, 3 Pd 2.90-3.00
Pd 0.9164 0.9164 0.3644  2 Pd 2.70-3.00, 2 Ag 2.77, 1 Pm 2.94

The energy above the most stable polymorph in this dataset is 0.0000 eV per atom. As for the formation energy: -5.34 eV/f.u. For the density of states at the Fermi level, the calculation gives 5.592 states/eV/f.u.

[6]
## Pm2Ag3Pd (GGA-PBE)

Data for a relaxed Pm2Ag3Pd crystal.

Lattice parameters (Å, degrees): 9.5435 9.0453 5.8693 76.28 67.03 36.69
With the nearest neighbours (Å) after each atom.
Positions (direct):
Pm 0.2477 0.7523 0.7523  10 Ag 3.22-3.30, 2 Pd 3.32, 2 Pm 3.52-3.58
Pm 0.2500 0.2500 0.2500  4 Pd 3.23, 8 Ag 3.25-3.30, 2 Pm 3.55
Pm 0.7500 0.7500 0.7500  4 Pd 3.23, 8 Ag 3.25-3.30, 2 Pm 3.55
Pm 0.7523 0.2477 0.2477  10 Ag 3.22-3.30, 2 Pd 3.32, 2 Pm 3.52-3.58
Ag 0.1656 0.6688 0.3312  1 Pd 2.73, 2 Ag 2.74-2.76
Ag 0.3312 0.8344 0.1656  1 Pd 2.73, 2 Ag 2.74-2.76
Ag 0.3333 0.3333 0.6667  1 Pd 2.73, 2 Ag 2.74
Ag 0.6667 0.6667 0.3333  1 Pd 2.73, 2 Ag 2.74
Ag 0.6688 0.1656 0.8344  1 Pd 2.73, 2 Ag 2.74-2.76
Ag 0.8344 0.3312 0.6688  1 Pd 2.73, 2 Ag 2.74-2.76
Pd 0.1691 0.1691 0.8309  3 Ag 2.73
Pd 0.8309 0.8309 0.1691  3 Ag 2.73

The energy above the most stable polymorph in this dataset is 0.0088 eV per atom. As for the formation energy: -2.24 eV/f.u. For the density of states at the Fermi level, the calculation gives 4.302 states/eV/f.u.

[7]
## Pm4Ag3Pd (GGA-PBE)

Data for a relaxed Pm4Ag3Pd crystal.

Lattice parameters (Å, degrees): 3.8791 4.8508 11.1088 90.00 90.00 90.00
With the nearest neighbours (Å) after each atom.
Positions (direct):
Pm 0.0000 0.0000 0.0000  2 Pd 3.05, 5 Ag 3.16-3.24
Pm 0.0000 0.5000 0.2692  3 Ag 3.09-3.13, 4 Pd 3.17
Pm 0.5000 0.0000 0.4804  1 Pd 2.98, 6 Ag 3.19-3.20
Pm 0.5000 0.5000 0.7744  7 Ag 3.10-3.19
Ag 0.0000 0.0000 0.7085  2 Ag 2.99, 7 Pm 3.19-3.24
Ag 0.0000 0.5000 0.5510  2 Ag 2.99, 7 Pm 3.13-3.20
Ag 0.5000 0.5000 0.0530  2 Pd 3.00, 7 Pm 3.09-3.16
Pd 0.5000 0.0000 0.2123  7 Pm 2.98-3.17, 2 Ag 3.00

The energy above the most stable polymorph in this dataset is 0.0000 eV per atom. As for the formation energy: -3.18 eV/f.u. For the density of states at the Fermi level, the calculation gives 6.023 states/eV/f.u.

[8]
## Pm3Ag2Pd (GGA-PBE)

Data for a relaxed Pm3Ag2Pd crystal.

Lattice parameters (Å, degrees): 8.1895 8.1895 3.7130 90.00 90.00 142.91
With the nearest neighbours (Å) after each atom.
Positions (direct):
Pm 0.0000 0.0000 0.0000  4 Pd 3.20, 4 Ag 3.30, 4 Pm 3.57
Pm 0.3430 0.6570 0.0000  2 Pd 3.06, 6 Ag 3.20-3.21
Pm 0.6570 0.3430 0.0000  2 Pd 3.06, 6 Ag 3.20-3.21
Ag 0.1754 0.8246 0.5000  8 Pm 3.20-3.30, 2 Ag 3.49
Ag 0.8246 0.1754 0.5000  8 Pm 3.20-3.30, 2 Ag 3.49
Pd 0.5000 0.5000 0.5000  8 Pm 3.06-3.20

As for the formation energy: -2.60 eV/f.u. For the density of states at the Fermi level, the calculation gives 5.085 states/eV/f.u.